! KTaMo2, optimized geometry, DFT PBE; values from VASP
! V = 98.4 Å³/cell
! Electronic total energy = -31.4 eV for the cell shown
! Energy above the most stable polymorph in this dataset = 138 meV/atom
&SYSTEM
  ibrav = 0, nat = 4, ntyp = 3
/
ATOMIC_SPECIES
Ta 180.95 Ta.upf
Mo 95.94 Mo.upf
K 39.10 K.upf
CELL_PARAMETERS angstrom
4.301 0.000 0.000
0.000 2.893 0.047
0.000 1.011 7.925
ATOMIC_POSITIONS angstrom
Ta 0.000 2.019 3.168
Mo 0.000 2.883 0.880
Mo 2.150 0.936 1.908
K 2.150 2.913 6.049

! KTaMo2, optimized geometry, DFT PBE; values from VASP
! V = 81.8 Å³/cell
! Electronic total energy = -31.0 eV for the cell shown
! Energy above the most stable polymorph in this dataset = 228 meV/atom
&SYSTEM
  ibrav = 0, nat = 4, ntyp = 3
/
ATOMIC_SPECIES
Ta 180.95 Ta.upf
Mo 95.94 Mo.upf
K 39.10 K.upf
CELL_PARAMETERS angstrom
-0.061 -2.098 -1.723
-1.455 -1.430 1.793
-9.363 3.934 -4.459
ATOMIC_POSITIONS angstrom
Ta -4.247 1.784 -2.022
Mo -3.067 -0.794 -1.065
K -7.846 1.214 -3.340
Mo -0.401 0.169 -0.191

! KTaMo, optimized geometry, DFT PBE; values from VASP
! V = 63.8 Å³/cell
! Electronic total energy = -20.7 eV for the cell shown
! Energy above the most stable polymorph in this dataset = 224 meV/atom
&SYSTEM
  ibrav = 0, nat = 3, ntyp = 3
/
ATOMIC_SPECIES
K 39.10 K.upf
Ta 180.95 Ta.upf
Mo 95.94 Mo.upf
CELL_PARAMETERS angstrom
-1.860 1.516 1.580
-0.950 -2.101 -1.714
0.900 -5.852 6.675
ATOMIC_POSITIONS angstrom
K 0.005 -0.031 0.035
Ta -0.680 -4.624 3.637
Mo -1.234 -1.782 2.869

! KTaMo2, optimized geometry, DFT PBE; values from VASP
! V = 99.6 Å³/cell
! Electronic total energy = -31.3 eV for the cell shown
! Energy above the most stable polymorph in this dataset = 154 meV/atom
&SYSTEM
  ibrav = 0, nat = 4, ntyp = 3
/
ATOMIC_SPECIES
K 39.10 K.upf
Mo 95.94 Mo.upf
Ta 180.95 Ta.upf
CELL_PARAMETERS angstrom
-1.280 2.493 1.763
-1.889 1.019 -2.812
-6.398 -5.033 2.473
ATOMIC_POSITIONS angstrom
K -6.464 -2.083 1.362
Mo -0.662 -0.520 0.256
Ta -2.509 -1.974 0.970
Mo -3.130 0.539 0.073

! KTaMo2, optimized geometry, DFT PBE; values from VASP
! V = 81.5 Å³/cell
! Electronic total energy = -31.9 eV for the cell shown
! Energy above the most stable polymorph in this dataset = 0 meV/atom
&SYSTEM
  ibrav = 0, nat = 4, ntyp = 3
/
ATOMIC_SPECIES
Ta 180.95 Ta.upf
Mo 95.94 Mo.upf
K 39.10 K.upf
CELL_PARAMETERS angstrom
-2.845 -0.073 -0.307
0.851 -1.193 2.459
-0.772 9.528 4.890
ATOMIC_POSITIONS angstrom
Ta -0.347 4.285 2.199
Mo -0.039 0.477 0.245
K -1.582 6.585 4.780
Mo -1.184 1.678 2.262

! KTaMo2, optimized geometry, DFT PBE; values from VASP
! V = 83.4 Å³/cell
! Electronic total energy = -29.1 eV for the cell shown
! Energy above the most stable polymorph in this dataset = 703 meV/atom
&SYSTEM
  ibrav = 0, nat = 4, ntyp = 3
/
ATOMIC_SPECIES
Mo 95.94 Mo.upf
Ta 180.95 Ta.upf
K 39.10 K.upf
CELL_PARAMETERS angstrom
-3.829 2.547 -3.811
-5.312 1.529 2.262
5.933 0.595 -0.336
ATOMIC_POSITIONS angstrom
Mo -4.252 1.896 -0.721
Ta -1.975 2.081 0.575
K -1.233 2.590 -2.461
Mo -0.318 0.142 -0.054

! KTaMo, optimized geometry, DFT PBE; values from VASP
! V = 66.6 Å³/cell
! Electronic total energy = -20.6 eV for the cell shown
! Energy above the most stable polymorph in this dataset = 247 meV/atom
&SYSTEM
  ibrav = 0, nat = 3, ntyp = 3
/
ATOMIC_SPECIES
Mo 95.94 Mo.upf
Ta 180.95 Ta.upf
K 39.10 K.upf
CELL_PARAMETERS angstrom
8.969 0.012 0.000
8.116 3.818 0.000
-8.543 -1.915 1.950
ATOMIC_POSITIONS angstrom
Mo 5.408 1.212 0.000
Ta 11.761 2.637 0.000
K 17.002 3.812 0.000

! K2TaTcMo, optimized geometry, DFT PBE; values from VASP
! V = 181.4 Å³/cell
! Electronic total energy = -24.5 eV for the cell shown
&SYSTEM
  ibrav = 0, nat = 5, ntyp = 4
/
ATOMIC_SPECIES
Ta 180.95 Ta.upf
K 39.10 K.upf
Tc 98.00 Tc.upf
Mo 95.94 Mo.upf
CELL_PARAMETERS angstrom
6.288 0.000 0.000
0.000 4.589 0.000
0.000 0.000 6.288
ATOMIC_POSITIONS angstrom
Ta 0.000 2.295 0.000
K 0.000 0.000 3.144
K 3.144 0.000 0.000
Tc 0.000 0.000 0.000
Mo 3.144 2.295 3.144

! KTc2Mo, optimized geometry, DFT PBE; values from VASP
! V = 94.3 Å³/cell
! Electronic total energy = -28.8 eV for the cell shown
! Energy above the most stable polymorph in this dataset = 247 meV/atom
&SYSTEM
  ibrav = 0, nat = 4, ntyp = 3
/
ATOMIC_SPECIES
Tc 98.00 Tc.upf
Mo 95.94 Mo.upf
K 39.10 K.upf
CELL_PARAMETERS angstrom
-1.028 -4.651 1.161
-0.351 -4.582 -1.709
6.416 -2.166 1.461
ATOMIC_POSITIONS angstrom
Tc -0.558 -9.149 -0.352
Mo 1.259 -2.850 0.228
Tc 1.698 -5.784 0.261
K 3.778 -8.549 0.685

! KTcMo2, optimized geometry, DFT PBE; values from VASP
! V = 92.0 Å³/cell
! Electronic total energy = -29.7 eV for the cell shown
! Energy above the most stable polymorph in this dataset = 129 meV/atom
&SYSTEM
  ibrav = 0, nat = 4, ntyp = 3
/
ATOMIC_SPECIES
K 39.10 K.upf
Mo 95.94 Mo.upf
Tc 98.00 Tc.upf
CELL_PARAMETERS angstrom
-2.717 -2.104 -2.539
2.076 -1.729 -0.788
-1.160 -5.200 5.550
ATOMIC_POSITIONS angstrom
K -0.631 -6.247 2.257
Mo -1.166 -2.805 -0.022
Tc 0.744 -3.051 1.732
Mo 1.787 -2.124 -0.152

! KTcMo3, optimized geometry, DFT PBE; values from VASP
! V = 86.8 Å³/cell
! Electronic total energy = -28.2 eV for the cell shown
! Energy above the most stable polymorph in this dataset = 1429 meV/atom
&SYSTEM
  ibrav = 0, nat = 5, ntyp = 3
/
ATOMIC_SPECIES
Mo 95.94 Mo.upf
Tc 98.00 Tc.upf
K 39.10 K.upf
CELL_PARAMETERS angstrom
-1.772 -3.906 -1.099
3.754 -1.122 -2.063
1.542 -1.757 3.760
ATOMIC_POSITIONS angstrom
Mo -0.886 -1.953 -0.549
Tc 1.762 -3.393 0.299
Mo 1.877 -0.561 -1.032
Mo 0.771 -0.879 1.880
K 0.000 0.000 0.000

! KTcMo2, optimized geometry, DFT PBE; values from VASP
! V = 73.1 Å³/cell
! Electronic total energy = -26.9 eV for the cell shown
! Energy above the most stable polymorph in this dataset = 838 meV/atom
&SYSTEM
  ibrav = 0, nat = 4, ntyp = 3
/
ATOMIC_SPECIES
Mo 95.94 Mo.upf
K 39.10 K.upf
Tc 98.00 Tc.upf
CELL_PARAMETERS angstrom
2.616 0.000 0.000
0.000 5.284 0.000
0.000 0.000 5.287
ATOMIC_POSITIONS angstrom
Mo 1.308 2.642 0.000
K 0.000 2.642 2.644
Mo 0.000 0.000 0.000
Tc 1.308 0.000 2.644

! KTc2Mo2, optimized geometry, DFT PBE; values from VASP
! V = 183.3 Å³/cell
! Electronic total energy = -80.3 eV for the cell shown
! Energy above the most stable polymorph in this dataset = 0 meV/atom
&SYSTEM
  ibrav = 0, nat = 10, ntyp = 3
/
ATOMIC_SPECIES
Tc 98.00 Tc.upf
K 39.10 K.upf
Mo 95.94 Mo.upf
CELL_PARAMETERS angstrom
-5.984 5.406 -1.269
-5.522 -5.990 0.522
-0.197 0.418 2.712
ATOMIC_POSITIONS angstrom
Tc -6.841 -3.202 -0.004
Tc -8.678 0.754 -0.748
K -5.753 -0.292 -0.374
Tc -4.665 2.618 -0.743
Mo -4.459 -2.867 1.513
Mo -8.677 -1.494 0.994
K 0.000 0.000 0.000
Tc -2.828 -1.339 0.001
Mo -3.026 1.327 0.971
Mo -7.244 2.701 0.452

! KTcMo2, optimized geometry, DFT PBE; values from VASP
! V = 92.0 Å³/cell
! Electronic total energy = -28.9 eV for the cell shown
! Energy above the most stable polymorph in this dataset = 342 meV/atom
&SYSTEM
  ibrav = 0, nat = 4, ntyp = 3
/
ATOMIC_SPECIES
K 39.10 K.upf
Mo 95.94 Mo.upf
Tc 98.00 Tc.upf
CELL_PARAMETERS angstrom
-0.995 -3.134 -3.508
-2.033 -4.185 -1.213
-6.342 3.397 -1.312
ATOMIC_POSITIONS angstrom
K -2.371 -0.960 -1.512
Mo -5.730 3.011 -1.212
Tc -5.353 -1.566 -3.138
Mo -6.944 -2.971 -4.501

! KTc2Mo, optimized geometry, DFT PBE; values from VASP
! V = 73.4 Å³/cell
! Electronic total energy = -29.5 eV for the cell shown
! Energy above the most stable polymorph in this dataset = 68 meV/atom
&SYSTEM
  ibrav = 0, nat = 4, ntyp = 3
/
ATOMIC_SPECIES
Tc 98.00 Tc.upf
K 39.10 K.upf
Mo 95.94 Mo.upf
CELL_PARAMETERS angstrom
-1.538 9.012 -4.977
-3.848 9.101 -3.273
-1.318 10.063 -2.313
ATOMIC_POSITIONS angstrom
Tc -0.099 0.415 -0.156
Tc -3.253 13.672 -5.126
K -1.676 7.044 -2.641
Mo -5.028 21.131 -7.922